1.
{"formula": "Lu4CoNiN2", "functional": "PBE", "state": "relaxed", "cell": [[3.3401, 0.0000, 0.0000], [-1.6701, 2.8926, 0.0000], [0.0000, 0.0000, 13.2354]], "species": ["Lu", "N", "Lu", "N", "Co", "Ni", "Lu", "Lu"], "fractional_positions": [[0.0000, 0.0000, 0.3516], [0.3333, 0.6667, 0.2517], [0.6667, 0.3333, 0.8540], [0.3333, 0.6667, 0.7483], [0.0000, 0.0000, 0.0000], [0.6667, 0.3333, 0.5000], [0.6667, 0.3333, 0.1460], [0.0000, 0.0000, 0.6484]], "dft_energy_ev_per_atom": -6.76}



2.
{"formula": "RbCoGeSe3", "functional": "PBE", "state": "relaxed", "cell": [[8.6318, 0.0000, 0.0000], [0.0000, 3.7404, 0.0000], [-3.9830, 0.0000, 9.6426]], "species": ["Co", "Ge", "Rb", "Ge", "Se", "Co", "Rb", "Se", "Se", "Se", "Se", "Se"], "fractional_positions": [[0.8732, 0.2500, 0.3512], [0.6268, 0.7500, 0.0566], [0.7220, 0.7500, 0.7597], [0.3732, 0.2500, 0.9434], [0.0664, 0.7500, 0.4098], [0.1268, 0.7500, 0.6488], [0.2780, 0.2500, 0.2403], [0.6679, 0.7500, 0.3043], [0.3321, 0.2500, 0.6957], [0.1536, 0.7500, 0.8966], [0.8464, 0.2500, 0.1034], [0.9336, 0.2500, 0.5902]], "dft_energy_ev_per_atom": -4.34}



3.
{"formula": "ReIrPd", "functional": "PBE", "state": "relaxed", "cell": [[-2.1147, -3.5488, -0.7838], [-3.7576, 0.1633, -1.8798], [-0.4329, -1.3594, -3.9553]], "species": ["Ir", "Re", "Pd"], "fractional_positions": [[0.2500, 0.2500, 0.2500], [0.0000, 0.0000, 0.0000], [0.7500, 0.7500, 0.7500]], "e_above_lowest_polymorph_mev_per_atom": 0, "dft_energy_ev_per_atom": -8.28, "formation_energy_ev_per_fu": 1.62}



4.
{"formula": "SmYZn2In2", "functional": "PBE", "state": "relaxed", "cell": [[4.6864, 0.0000, 0.0000], [-2.3432, 4.0586, 0.0000], [0.0000, 0.0000, 7.4150]], "species": ["Zn", "Zn", "In", "Y", "In", "Sm"], "fractional_positions": [[0.3333, 0.6667, 0.0487], [0.6667, 0.3333, 0.5420], [0.3333, 0.6667, 0.6212], [0.0000, 0.0000, 0.3483], [0.6667, 0.3333, 0.1288], [0.0000, 0.0000, 0.8479]], "dft_energy_ev_per_atom": -3.68}



5.
{"formula": "Zn2CuPt", "functional": "PBE", "state": "relaxed", "cell": [[-1.4474, -3.5182, 0.6814], [0.7154, -1.0038, -3.6631], [3.3553, -1.1903, 0.9815]], "species": ["Zn", "Zn", "Cu", "Pt"], "fractional_positions": [[0.0000, 0.5000, 0.5000], [0.5000, 0.0000, 0.5000], [0.5000, 0.5000, 0.0000], [0.0000, 0.0000, 0.0000]], "dft_energy_ev_per_atom": -3.43, "formation_energy_ev_per_fu": -1.41}



6.
{"formula": "Cs2AgAuBr4Cl2", "functional": "PBE", "state": "relaxed", "cell": [[-3.8830, 3.8830, 5.5588], [3.8830, -3.8830, 5.5588], [3.8830, 3.8830, -5.5588]], "species": ["Br", "Br", "Cs", "Br", "Cs", "Cl", "Br", "Ag", "Au", "Cl"], "fractional_positions": [[0.2360, 0.2360, 0.4721], [0.7640, 0.2360, 0.0000], [0.7500, 0.2500, 0.5000], [0.7640, 0.7640, 0.5279], [0.2500, 0.7500, 0.5000], [0.2883, 0.2883, 0.0000], [0.2360, 0.7640, 0.0000], [0.0000, 0.0000, 0.0000], [0.5000, 0.5000, 0.0000], [0.7117, 0.7117, 0.0000]], "e_above_lowest_polymorph_mev_per_atom": 29, "dft_energy_ev_per_atom": -2.76}



7.
{"formula": "ErZrPd", "functional": "PBE", "state": "relaxed", "cell": [[-2.0143, 0.1574, 4.2515], [-4.5389, -1.1437, 0.4977], [-1.1948, -3.9930, 2.1876]], "species": ["Pd", "Er", "Zr"], "fractional_positions": [[0.2500, 0.2500, 0.2500], [0.5000, 0.5000, 0.5000], [0.0000, 0.0000, 0.0000]], "e_above_lowest_polymorph_mev_per_atom": 0, "dft_energy_ev_per_atom": -6.33, "formation_energy_ev_per_fu": -0.71}



8.
{"formula": "Rb2In3GaAu2", "functional": "PBE", "state": "relaxed", "cell": [[-6.2376, -2.6280, -3.6823], [-4.5862, -5.9086, -1.8517], [0.1829, 5.4379, 9.5803]], "species": ["In", "Au", "Rb", "In", "Au", "In", "Ga", "Rb"], "fractional_positions": [[0.8638, 0.8638, 0.8075], [0.6328, 0.6328, 0.6736], [0.8609, 0.8609, 0.4285], [0.1412, 0.1412, 0.0765], [0.4858, 0.4858, 0.7889], [0.7943, 0.7943, 0.0330], [0.1081, 0.1081, 0.7895], [0.1130, 0.1130, 0.4024]], "dft_energy_ev_per_atom": -2.55}